NaTaSbO6: relaxed, PBE. Values from VASP.

Values from the calculation:
The calculation puts the formation energy from raw total energies at -1.81 eV/atom. The total magnetization comes out at 1.070 μB/f.u. The value obtained for the volume is 14.22 A^3/atom. Its space-group type is P-31c.

Quantum ESPRESSO input file:
```
&SYSTEM
  ibrav = 0, nat = 18, ntyp = 4
/
ATOMIC_SPECIES
Na 22.99 Na.upf
Ta 180.95 Ta.upf
Sb 121.76 Sb.upf
O 16.00 O.upf
ATOMIC_POSITIONS crystal
Na 0.0000 0.0000 0.0000
Na 0.0000 0.0000 0.5000
Ta 0.3333 0.6667 0.2500
Ta 0.6667 0.3333 0.7500
Sb 0.3333 0.6667 0.7500
Sb 0.6667 0.3333 0.2500
O 0.0003 0.3813 0.1419
O 0.9997 0.3810 0.6419
O 0.0003 0.6190 0.3581
O 0.9997 0.6187 0.8581
O 0.3810 0.9997 0.1419
O 0.3813 0.0003 0.6419
O 0.3810 0.3813 0.3581
O 0.3813 0.3810 0.8581
O 0.6187 0.9997 0.3581
O 0.6190 0.0003 0.8581
O 0.6187 0.6190 0.1419
O 0.6190 0.6187 0.6419
CELL_PARAMETERS angstrom
5.4297 0.0000 0.0000
-2.7149 4.7023 0.0000
0.0000 0.0000 10.0232
```

Na3Tb3SbO8: relaxed, PBE. Values from VASP.

Values from the calculation:
The calculation puts the formation energy from raw total energies at -2.47 eV/atom. The total magnetization comes out at 0.000 μB/f.u. The value obtained for the volume is 15.21 A^3/atom. Its space-group type is R-3m.

Quantum ESPRESSO input file:
```
&SYSTEM
  ibrav = 0, nat = 15, ntyp = 4
/
ATOMIC_SPECIES
Na 22.99 Na.upf
Tb 158.93 Tb.upf
Sb 121.76 Sb.upf
O 16.00 O.upf
ATOMIC_POSITIONS crystal
Na 0.0000 0.5000 0.5000
Na 0.5000 0.0000 0.5000
Na 0.5000 0.5000 0.0000
Tb 0.0000 0.0000 0.5000
Tb 0.0000 0.5000 0.0000
Tb 0.5000 0.0000 0.0000
Sb 0.5000 0.5000 0.5000
O 0.2360 0.2360 0.2360
O 0.2560 0.7221 0.7221
O 0.2779 0.2779 0.7440
O 0.2779 0.7440 0.2779
O 0.7221 0.2560 0.7221
O 0.7221 0.7221 0.2560
O 0.7440 0.2779 0.2779
O 0.7640 0.7640 0.7640
CELL_PARAMETERS angstrom
3.4268 1.9785 5.6078
-3.4268 1.9785 5.6078
0.0000 -3.9569 5.6078
```

NaTb2SbO6: relaxed, PBE. Values from VASP.

Values from the calculation:
The calculation puts the formation energy from raw total energies at -2.57 eV/atom. The total magnetization comes out at 0.000 μB/f.u. The value obtained for the volume is 14.20 A^3/atom. Its space-group type is R3.

Quantum ESPRESSO input file:
```
&SYSTEM
  ibrav = 0, nat = 10, ntyp = 4
/
ATOMIC_SPECIES
Na 22.99 Na.upf
Tb 158.93 Tb.upf
Sb 121.76 Sb.upf
O 16.00 O.upf
ATOMIC_POSITIONS crystal
Na 0.0000 0.0000 0.0000
Tb 0.2722 0.2722 0.2722
Tb 0.7783 0.7783 0.7783
Sb 0.4794 0.4794 0.4794
O 0.1153 0.6587 0.3995
O 0.2269 0.5747 0.8365
O 0.3995 0.1153 0.6587
O 0.5747 0.8365 0.2269
O 0.6587 0.3995 0.1153
O 0.8365 0.2269 0.5747
CELL_PARAMETERS angstrom
2.8546 1.6481 5.0288
-2.8546 1.6481 5.0288
0.0000 -3.2962 5.0288
```

Among the records above, which one has the lowest volume? NaTb2SbO6

Among the records above, which one has the highest formation energy from raw total energies? NaTaSbO6